DFT (GGA-PBE) results for an optimized crystal structure of Tl2SbMo.

**DOS at the Fermi energy**: 2.7 states/eV/cell
**V**: 92.83 Å³ per cell
**Polymorph energy (0 for the lowest one)**: 0.4495 eV per atom

Cell: 3.834 3.834 6.315 Å, 90.00 90.00 90.00°
Element x y z (fractional)
Mo 0.500 0.500 0.250
Sb 0.500 0.500 0.750
Tl 0.000 0.000 0.017
Tl 0.000 0.000 0.483